# Nb2HgSe2 (GGA-PBE, relaxed)
# Formation energy (no corrections) (eV/f.u.): -0.3
# Crystal system: tetragonal
# Energy relative to the lowest polymorph listed for this composition (meV per atom): 336
data_Nb2HgSe2
_cell_length_a 7.7685
_cell_length_b 7.7685
_cell_length_c 3.1356
_cell_angle_alpha 90.00
_cell_angle_beta 90.00
_cell_angle_gamma 90.00
_space_group_name_H-M_alt 'P 4/m b m'
_space_group_IT_number 127
_space_group_name_Hall '-P 4 2ab'
loop_
_atom_site_label
_atom_site_fract_x
_atom_site_fract_y
_atom_site_fract_z
Nb1 0.1528 0.3472 0.0000
Hg1 0.0000 0.0000 0.5000
Se1 0.1367 0.6367 0.5000



# Pr6SbS4 (GGA-PBE, relaxed)
# Formation energy (no corrections) (eV/f.u.): -18.6
# Crystal system: orthorhombic
data_Pr6SbS4
_cell_length_a 4.1944
_cell_length_b 13.5190
_cell_length_c 20.9849
_cell_angle_alpha 90.00
_cell_angle_beta 90.00
_cell_angle_gamma 90.00
_space_group_name_H-M_alt 'C m c m'
_space_group_IT_number 63
_space_group_name_Hall '-C 2c 2'
loop_
_atom_site_label
_atom_site_fract_x
_atom_site_fract_y
_atom_site_fract_z
Pr1 0.0000 0.0000 0.0000
Pr2 0.0000 0.1607 0.2500
Pr3 0.0000 0.2724 0.5865
Pr4 0.0000 0.4571 0.1582
Sb1 0.0000 0.1620 0.7500
S1 0.0000 0.0925 0.1230
S2 0.0000 0.3609 0.0383



# AgSbOs (GGA-PBE, relaxed)
# Formation energy (no corrections) (eV/f.u.): 1.8
# Crystal system: hexagonal
# Energy relative to the lowest polymorph listed for this composition (meV per atom): 116
data_AgSbOs
_cell_length_a 4.4651
_cell_length_b 4.4651
_cell_length_c 3.2893
_cell_angle_alpha 90.00
_cell_angle_beta 90.00
_cell_angle_gamma 120.00
_space_group_name_H-M_alt 'P -6 m 2'
_space_group_IT_number 187
_space_group_name_Hall 'P -6 2'
loop_
_atom_site_label
_atom_site_fract_x
_atom_site_fract_y
_atom_site_fract_z
Ag1 0.0000 0.0000 0.0000
Sb1 0.3333 0.6667 0.5000
Os1 0.6667 0.3333 0.5000



# RbBPbN2 (GGA-PBE, relaxed)
# Formation energy (no corrections) (eV/f.u.): 9.3
# Crystal system: tetragonal
data_RbBPbN2
_cell_length_a 4.7116
_cell_length_b 4.7116
_cell_length_c 4.7514
_cell_angle_alpha 90.00
_cell_angle_beta 90.00
_cell_angle_gamma 90.00
_space_group_name_H-M_alt 'P 4/m m m'
_space_group_IT_number 123
_space_group_name_Hall '-P 4 2'
loop_
_atom_site_label
_atom_site_fract_x
_atom_site_fract_y
_atom_site_fract_z
Rb1 0.0000 0.0000 0.0000
B1 0.5000 0.5000 0.0000
Pb1 0.5000 0.5000 0.5000
N1 0.0000 0.5000 0.5000



Going through the records in order, we get density values of 9.55 6.11 12.28 5.22 g/cm3.
Going through the records in order, we get volume values of 189 1190 57 105 Å³ per cell.
Going through the records in order, we get density of states at the Fermi level values of 7.35 34.32 1.80 2.05 states/eV per cell.